This record from Alexandria describes Sc2BePt2 after structural relaxation. The functional is PBE-GGA.

Cell: 6.2330 6.2330 6.2330 Å, 138.58 138.58 60.02°
Last column: nearest neighbours and their distance in Å.
Fractional coordinates of all 5 atoms:
Sc (0.2500, 0.7500, 0.5000)  4 Pt 2.63
Sc (0.7500, 0.2500, 0.5000)  4 Pt 2.63
Be (0.0000, 0.0000, 0.0000)  8 Pt 3.36, 8 Sc 3.48
Pt (0.3834, 0.3834, 0.0000)  1 Pt 2.52, 4 Sc 2.63
Pt (0.6166, 0.6166, 0.0000)  1 Pt 2.52, 4 Sc 2.63

Output
ΔE_f (eV per atom): -0.334
SG: I4/mmm, No. 139
Electronic total energy (eV/cell): -30.1
Energy relative to the lowest polymorph listed for this composition (meV per atom): 480